DFT (PBE) results for crystalline Tm12Sn3Ge5 at its relaxed geometry.

energy of formation from the pure elements = -0.33 eV per atom
E_tot = -4.77 eV per atom
total magnetization = 0.00 μB/f.u.

a b c (Å): 14.736 14.736 14.736
angles (deg): 109.47 109.47 109.47
Positions (direct):
Tm (0.044, 0.215, 0.129)
Tm (0.044, 0.329, 0.915)
Tm (0.085, 0.629, 0.414)
Tm (0.085, 0.956, 0.671)
Tm (0.086, 0.715, 0.671)
Tm (0.086, 0.871, 0.415)
Tm (0.129, 0.044, 0.215)
Tm (0.129, 0.585, 0.914)
Tm (0.171, 0.215, 0.586)
Tm (0.171, 0.456, 0.585)
Tm (0.215, 0.129, 0.044)
Tm (0.215, 0.586, 0.171)
Tm (0.285, 0.329, 0.914)
Tm (0.285, 0.456, 0.371)
Tm (0.329, 0.914, 0.285)
Tm (0.329, 0.915, 0.044)
Tm (0.371, 0.285, 0.456)
Tm (0.371, 0.586, 0.915)
Tm (0.414, 0.085, 0.629)
Tm (0.414, 0.829, 0.785)
Tm (0.415, 0.086, 0.871)
Tm (0.415, 0.829, 0.544)
Tm (0.456, 0.371, 0.285)
Tm (0.456, 0.585, 0.171)
Tm (0.544, 0.415, 0.829)
Tm (0.544, 0.629, 0.715)
Tm (0.585, 0.171, 0.456)
Tm (0.585, 0.914, 0.129)
Tm (0.586, 0.171, 0.215)
Tm (0.586, 0.915, 0.371)
Tm (0.629, 0.414, 0.085)
Tm (0.629, 0.715, 0.544)
Tm (0.671, 0.085, 0.956)
Tm (0.671, 0.086, 0.715)
Tm (0.715, 0.544, 0.629)
Tm (0.715, 0.671, 0.086)
Tm (0.785, 0.414, 0.829)
Tm (0.785, 0.871, 0.956)
Tm (0.829, 0.544, 0.415)
Tm (0.829, 0.785, 0.414)
Tm (0.871, 0.415, 0.086)
Tm (0.871, 0.956, 0.785)
Tm (0.914, 0.129, 0.585)
Tm (0.914, 0.285, 0.329)
Tm (0.915, 0.044, 0.329)
Tm (0.915, 0.371, 0.586)
Tm (0.956, 0.671, 0.085)
Tm (0.956, 0.785, 0.871)
Sn (0.125, 0.250, 0.375)
Sn (0.125, 0.375, 0.750)
Sn (0.250, 0.375, 0.125)
Sn (0.250, 0.875, 0.625)
Sn (0.375, 0.125, 0.250)
Sn (0.375, 0.750, 0.125)
Sn (0.625, 0.250, 0.875)
Sn (0.625, 0.875, 0.750)
Sn (0.750, 0.125, 0.375)
Sn (0.750, 0.625, 0.875)
Sn (0.875, 0.625, 0.250)
Sn (0.875, 0.750, 0.625)
Ge (0.000, 0.000, 0.000)
Ge (0.000, 0.000, 0.500)
Ge (0.000, 0.500, 0.000)
Ge (0.000, 0.500, 0.500)
Ge (0.125, 0.750, 0.875)
Ge (0.125, 0.875, 0.250)
Ge (0.250, 0.125, 0.875)
Ge (0.250, 0.625, 0.375)
Ge (0.375, 0.250, 0.625)
Ge (0.375, 0.625, 0.750)
Ge (0.500, 0.000, 0.000)
Ge (0.500, 0.000, 0.500)
Ge (0.500, 0.500, 0.000)
Ge (0.500, 0.500, 0.500)
Ge (0.625, 0.375, 0.250)
Ge (0.625, 0.750, 0.375)
Ge (0.750, 0.375, 0.625)
Ge (0.750, 0.875, 0.125)
Ge (0.875, 0.125, 0.750)
Ge (0.875, 0.250, 0.125)

---

DFT (PBE) results for crystalline Ac2InRh3 at its relaxed geometry.

energy of formation from the pure elements = -0.55 eV per atom
relative energy among the computed polymorphs = 0.00 eV/f.u.
E_tot = -6.05 eV per atom
total magnetization = 0.00 μB/f.u.

a b c (Å): 7.203 4.276 18.168
angles (deg): 90.00 90.00 90.00
Positions (direct):
Ac (0.115, 0.250, 0.211)
Ac (0.134, 0.250, 0.422)
Ac (0.366, 0.750, 0.922)
Ac (0.385, 0.750, 0.711)
Ac (0.615, 0.250, 0.289)
Ac (0.634, 0.250, 0.078)
Ac (0.866, 0.750, 0.578)
Ac (0.885, 0.750, 0.789)
In (0.022, 0.750, 0.066)
In (0.478, 0.250, 0.566)
In (0.522, 0.750, 0.434)
In (0.978, 0.250, 0.934)
Rh (0.111, 0.250, 0.650)
Rh (0.202, 0.250, 0.808)
Rh (0.244, 0.250, 0.048)
Rh (0.256, 0.750, 0.548)
Rh (0.298, 0.750, 0.308)
Rh (0.389, 0.750, 0.150)
Rh (0.611, 0.250, 0.850)
Rh (0.702, 0.250, 0.692)
Rh (0.744, 0.250, 0.452)
Rh (0.756, 0.750, 0.952)
Rh (0.798, 0.750, 0.192)
Rh (0.889, 0.750, 0.350)

---

DFT (PBE) results for crystalline PIr2Os at its relaxed geometry.

energy of formation from the pure elements = 0.16 eV per atom
E_tot = -8.43 eV per atom
total magnetization = 0.00 μB/f.u.

a b c (Å): 2.794 2.794 7.163
angles (deg): 90.00 90.00 90.00
Positions (direct):
P (0.000, 0.000, 0.000)
Ir (0.500, 0.500, 0.233)
Ir (0.500, 0.500, 0.767)
Os (0.000, 0.000, 0.500)

---

DFT (PBE) results for crystalline CePrTh2 at its relaxed geometry.

energy of formation from the pure elements = 0.22 eV per atom
relative energy among the computed polymorphs = 0.68 eV/f.u.
E_tot = -6.16 eV per atom
total magnetization = 0.00 μB/f.u.

a b c (Å): 5.654 5.654 5.654
angles (deg): 60.00 60.00 60.00
Positions (direct):
Ce (0.000, 0.000, 0.000)
Pr (0.500, 0.500, 0.500)
Th (0.250, 0.250, 0.250)
Th (0.750, 0.750, 0.750)

---

DFT (PBE) results for crystalline LiTa2Ag at its relaxed geometry.

energy of formation from the pure elements = 0.68 eV per atom
relative energy among the computed polymorphs = 2.13 eV/f.u.
E_tot = -6.44 eV per atom
total magnetization = 0.00 μB/f.u.

a b c (Å): 4.577 4.577 4.577
angles (deg): 60.00 60.00 60.00
Positions (direct):
Li (0.000, 0.000, 0.000)
Ta (0.250, 0.250, 0.250)
Ta (0.750, 0.750, 0.750)
Ag (0.500, 0.500, 0.500)

---

DFT (PBE) results for crystalline ZrTi3Ag at its relaxed geometry.

energy of formation from the pure elements = 1.20 eV per atom
relative energy among the computed polymorphs = 0.92 eV/f.u.
E_tot = -5.82 eV per atom
total magnetization = 1.86 μB/f.u.

a b c (Å): 4.806 4.806 4.806
angles (deg): 90.00 90.00 90.00
Positions (direct):
Zr (0.000, 0.000, 0.000)
Ti (0.000, 0.000, 0.500)
Ti (0.000, 0.500, 0.000)
Ti (0.500, 0.000, 0.000)
Ag (0.500, 0.500, 0.500)

---

DFT (PBE) results for crystalline Ca6Sn2NCl at its relaxed geometry.

E_tot = -4.02 eV per atom
uncorrected formation energy = -1.005 eV per atom
total magnetization = 0.00 μB/f.u.

a b c (Å): 7.206 7.206 7.206
angles (deg): 60.00 60.00 60.00
Positions (direct):
Ca (0.232, 0.232, 0.768)
Ca (0.232, 0.768, 0.232)
Ca (0.232, 0.768, 0.768)
Ca (0.768, 0.232, 0.232)
Ca (0.768, 0.232, 0.768)
Ca (0.768, 0.768, 0.232)
Sn (0.250, 0.250, 0.250)
Sn (0.750, 0.750, 0.750)
N (0.000, 0.000, 0.000)
Cl (0.500, 0.500, 0.500)

---

DFT (PBE) results for crystalline La2Nd9Er at its relaxed geometry.

energy of formation from the pure elements = 0.02 eV per atom
E_tot = -4.76 eV per atom
total magnetization = 0.00 μB/f.u.

a b c (Å): 5.200 5.200 15.611
angles (deg): 90.00 90.00 90.00
Positions (direct):
La (0.000, 0.000, 0.168)
La (0.000, 0.000, 0.832)
Nd (0.000, 0.500, 0.000)
Nd (0.000, 0.500, 0.337)
Nd (0.000, 0.500, 0.663)
Nd (0.500, 0.000, 0.000)
Nd (0.500, 0.000, 0.337)
Nd (0.500, 0.000, 0.663)
Nd (0.500, 0.500, 0.169)
Nd (0.500, 0.500, 0.500)
Nd (0.500, 0.500, 0.831)
Er (0.000, 0.000, 0.500)

---

DFT (PBE) results for crystalline LiPbW2 at its relaxed geometry.

energy of formation from the pure elements = 0.60 eV per atom
E_tot = -7.28 eV per atom
total magnetization = 0.00 μB/f.u.

a b c (Å): 4.587 4.587 4.587
angles (deg): 119.85 119.85 90.26
Positions (direct):
Li (0.000, 0.000, 0.000)
Pb (0.750, 0.250, 0.500)
W (0.250, 0.750, 0.500)
W (0.500, 0.500, 0.000)

---

DFT (PBE) results for crystalline KCdSCl2 at its relaxed geometry.

relative energy among the computed polymorphs = 0.00 eV/f.u.
E_tot = -2.84 eV per atom
uncorrected formation energy = -0.869 eV per atom
total magnetization = 0.97 μB/f.u.

a b c (Å): 5.388 5.388 5.061
angles (deg): 90.00 90.00 90.00
Positions (direct):
K (0.000, 0.000, 0.000)
Cd (0.500, 0.500, 0.500)
S (0.500, 0.500, 0.000)
Cl (0.000, 0.500, 0.500)
Cl (0.500, 0.000, 0.500)

---

DFT (PBE) results for crystalline SrTlMo3 at its relaxed geometry.

energy of formation from the pure elements = 2.89 eV per atom
relative energy among the computed polymorphs = 3.35 eV/f.u.
E_tot = -4.42 eV per atom
total magnetization = 0.00 μB/f.u.

a b c (Å): 4.867 4.867 4.867
angles (deg): 90.00 90.00 90.00
Positions (direct):
Sr (0.000, 0.000, 0.000)
Tl (0.500, 0.500, 0.500)
Mo (0.000, 0.000, 0.500)
Mo (0.000, 0.500, 0.000)
Mo (0.500, 0.000, 0.000)

---

DFT (PBE) results for crystalline LiDyTm4Se8 at its relaxed geometry.

E_tot = -5.51 eV per atom
uncorrected formation energy = -1.772 eV per atom
total magnetization = 0.00 μB/f.u.

a b c (Å): 8.295 8.295 8.295
angles (deg): 59.77 59.77 59.77
Positions (direct):
Li (0.000, 0.000, 0.000)
Dy (0.370, 0.370, 0.370)
Tm (0.369, 0.369, 0.891)
Tm (0.369, 0.891, 0.369)
Tm (0.749, 0.749, 0.749)
Tm (0.891, 0.369, 0.369)
Se (0.128, 0.128, 0.609)
Se (0.128, 0.609, 0.128)
Se (0.130, 0.130, 0.130)
Se (0.149, 0.618, 0.618)
Se (0.609, 0.128, 0.128)
Se (0.616, 0.616, 0.616)
Se (0.618, 0.149, 0.618)
Se (0.618, 0.618, 0.149)

---

DFT (PBE) results for crystalline SiAsP at its relaxed geometry.

relative energy among the computed polymorphs = 1.03 eV/f.u.
E_tot = -4.77 eV per atom
uncorrected formation energy = 0.394 eV per atom
total magnetization = 0.00 μB/f.u.

a b c (Å): 5.611 5.611 5.611
angles (deg): 145.12 145.12 50.15
Positions (direct):
Si (0.000, 0.000, 0.000)
As (0.648, 0.648, 0.000)
P (0.418, 0.418, 0.000)

---

DFT (PBE) results for crystalline P3C at its relaxed geometry.

energy of formation from the pure elements = 0.47 eV per atom
relative energy among the computed polymorphs = 0.24 eV/f.u.
E_tot = -5.89 eV per atom
total magnetization = 0.00 μB/f.u.

a b c (Å): 4.730 3.067 5.111
angles (deg): 90.00 114.22 90.00
Positions (direct):
P (0.000, 0.000, 0.000)
P (0.165, 0.000, 0.486)
P (0.651, 0.500, 0.974)
C (0.388, 0.500, 0.602)

---

DFT (PBE) results for crystalline Pa2TlN at its relaxed geometry.

relative energy among the computed polymorphs = 2.13 eV/f.u.
E_tot = -7.60 eV per atom
uncorrected formation energy = -0.176 eV per atom
total magnetization = 1.54 μB/f.u.

a b c (Å): 3.115 3.115 8.097
angles (deg): 90.00 90.00 90.00
Positions (direct):
Pa (0.000, 0.000, 0.182)
Pa (0.000, 0.000, 0.818)
Tl (0.500, 0.500, 0.500)
N (0.500, 0.500, 0.000)

---

DFT (PBE) results for crystalline TiCdI2O at its relaxed geometry.

relative energy among the computed polymorphs = 0.00 eV/f.u.
E_tot = -4.34 eV per atom
uncorrected formation energy = -0.963 eV per atom
total magnetization = 0.00 μB/f.u.

a b c (Å): 5.773 5.773 3.780
angles (deg): 90.00 90.00 90.00
Positions (direct):
Ti (0.000, 0.000, 0.000)
Cd (0.500, 0.500, 0.500)
I (0.000, 0.500, 0.000)
I (0.500, 0.000, 0.000)
O (0.000, 0.000, 0.500)

---

DFT (PBE) results for crystalline YPu2Tl3 at its relaxed geometry.

energy of formation from the pure elements = -0.13 eV per atom
E_tot = -7.17 eV per atom
total magnetization = 11.91 μB/f.u.

a b c (Å): 3.379 3.379 14.188
angles (deg): 90.00 90.00 90.00
Positions (direct):
Y (0.000, 0.000, 0.000)
Pu (0.000, 0.000, 0.332)
Pu (0.000, 0.000, 0.668)
Tl (0.500, 0.500, 0.163)
Tl (0.500, 0.500, 0.500)
Tl (0.500, 0.500, 0.837)

---

DFT (PBE) results for crystalline Nb2Al5Co2Pd at its relaxed geometry.

energy of formation from the pure elements = -0.46 eV per atom
E_tot = -6.28 eV per atom
total magnetization = 0.00 μB/f.u.

a b c (Å): 8.787 8.787 3.803
angles (deg): 90.00 90.00 90.00
Positions (direct):
Nb (0.180, 0.320, 0.000)
Nb (0.320, 0.820, 0.000)
Nb (0.680, 0.180, 0.000)
Nb (0.820, 0.680, 0.000)
Al (0.000, 0.500, 0.500)
Al (0.063, 0.792, 0.500)
Al (0.208, 0.063, 0.500)
Al (0.292, 0.563, 0.500)
Al (0.437, 0.292, 0.500)
Al (0.500, 0.000, 0.500)
Al (0.563, 0.708, 0.500)
Al (0.708, 0.437, 0.500)
Al (0.792, 0.937, 0.500)
Al (0.937, 0.208, 0.500)
Co (0.117, 0.617, 0.000)
Co (0.383, 0.117, 0.000)
Co (0.617, 0.883, 0.000)
Co (0.883, 0.383, 0.000)
Pd (0.000, 0.000, 0.000)
Pd (0.500, 0.500, 0.000)

---

DFT (PBE) results for crystalline Ce2Sm3YSe6 at its relaxed geometry.

E_tot = -6.27 eV per atom
uncorrected formation energy = -1.816 eV per atom
total magnetization = 1.85 μB/f.u.

a b c (Å): 7.217 7.217 7.232
angles (deg): 99.60 99.60 120.08
Positions (direct):
Ce (0.166, 0.834, 0.000)
Ce (0.834, 0.166, 0.000)
Sm (0.000, 0.000, 0.500)
Sm (0.333, 0.667, 0.500)
Sm (0.667, 0.333, 0.500)
Y (0.500, 0.500, 0.000)
Se (0.089, 0.417, 0.751)
Se (0.255, 0.255, 0.250)
Se (0.417, 0.089, 0.751)
Se (0.583, 0.911, 0.249)
Se (0.745, 0.745, 0.750)
Se (0.911, 0.583, 0.249)

---

DFT (PBE) results for crystalline NbCl at its relaxed geometry.

E_tot = -5.84 eV per atom
uncorrected formation energy = 0.115 eV per atom
total magnetization = 0.55 μB/f.u.

a b c (Å): 7.117 7.117 7.117
angles (deg): 109.47 109.47 109.47
Positions (direct):
Nb (0.000, 0.000, 0.220)
Nb (0.000, 0.220, 0.000)
Nb (0.220, 0.000, 0.000)
Nb (0.780, 0.780, 0.780)
Cl (0.000, 0.000, 0.595)
Cl (0.000, 0.595, 0.000)
Cl (0.405, 0.405, 0.405)
Cl (0.595, 0.000, 0.000)